DFT (PBE) results for a relaxed KHfIn2Cl8 crystal.

Calculated values
VASP energy: -4.036 eV per atom
space group: No. 2
D(E_F): 5.0 states/eV/cell
size of the total moment: 0.00 μB/atom
uncorrected formation energy: -1.43 eV/atom
density: 3.1 g/cm³

abc: 6.8798 6.5495 8.7095
angles: 89.92 90.00 88.89
Closest atoms and distances in Å follow each position.
Element x y z (fractional)
In1 0.5001 0.5005 0.2509  4 Cl 2.74-3.07
In2 0.4999 0.4995 0.7491  4 Cl 2.74-3.07
Cl1 0.8595 0.2243 0.2015  1 Hf 2.47
Cl2 0.1399 0.7750 0.2019  1 Hf 2.48
Cl3 0.2950 0.2048 0.0003  1 Hf 2.45
Cl4 0.1405 0.7757 0.7985  1 Hf 2.47
Cl5 0.8601 0.2250 0.7981  1 Hf 2.48
Cl6 0.6429 0.7045 0.5000  2 In 2.74
Cl7 0.3571 0.2955 0.5000  2 In 2.74
Cl8 0.7050 0.7952 0.9997  1 Hf 2.45
Hf1 0.0000 0.0000 0.0000  6 Cl 2.45-2.48
K1 0.0000 0.0000 0.5000  6 Cl 3.13-3.16